MoIrRh2 | meta-GGA SCAN | PBEsol geometry

The energy above the lowest structure with this stoichiometry comes out at 0.0 kJ/mol of formula units. The formation energy is -6.00 kcal/mol of atoms.

Lattice parameters (Å, degrees): 3.8064 3.8064 3.8465 90.00 90.00 90.00
Closest atoms and distances in Å follow each position.
Space group P4/mmm (No. 123)
Inequivalent atoms, fractional coordinates:
Mo 0.0000 0.0000 0.0000 x1  4 Ir 2.69, 8 Rh 2.71
Ir 0.5000 0.5000 0.0000 x1  4 Mo 2.69, 8 Rh 2.71
Rh 0.0000 0.5000 0.5000 x2  4 Rh 2.69, 4 Mo 2.71, 4 Ir 2.71

Al2WCl | meta-GGA SCAN | PBEsol geometry

The raw formation energy is 0.38 eV per atom.

Lattice parameters (Å, degrees): 2.7942 4.5931 5.3462 90.00 90.00 90.00
Closest atoms and distances in Å follow each position.
Space group Pmm2 (No. 25)
Inequivalent atoms, fractional coordinates:
Al 0.0000 0.0000 0.0000 x1  1 Cl 2.36
Al 0.5000 0.5000 0.3493 x1  2 W 2.60-2.75, 4 Cl 2.73, 2 Al 2.79
W 0.5000 0.5000 0.8633 x1  6 Al 2.60-2.79, 2 W 2.79
Cl 0.0000 0.0000 0.4416 x1  1 Al 2.36

GaClF2 | meta-GGA SCAN | PBEsol geometry

The raw formation energy is -1.65 eV per atom.

Lattice parameters (Å, degrees): 5.8449 5.8449 8.4797 90.00 90.00 90.00
Closest atoms and distances in Å follow each position.
Space group I4_1/amd (No. 141, origin choice 2)
Inequivalent atoms, fractional coordinates:
Ga 0.0000 0.2500 0.3750 x4  4 F 1.81
Cl 0.0000 0.2500 0.8750 x4  12 F 3.44-3.50, 4 Ga 3.61, 4 Cl 3.61
F 0.0000 0.0000 0.5000 x8  2 Ga 1.81

MgZn3 | meta-GGA SCAN | PBEsol geometry

The formation energy is -0.04 kcal/mol of atoms.

Lattice parameters (Å, degrees): 5.5459 7.9008 2.8893 90.00 90.00 90.00
Closest atoms and distances in Å follow each position.
Space group Cmmm (No. 65)
Inequivalent atoms, fractional coordinates:
Mg 0.0000 0.0000 0.0000 x2  10 Zn 2.77-2.81, 2 Mg 2.89
Zn 0.0000 0.5000 0.0000 x2  2 Mg 2.77, 10 Zn 2.81-2.89
Zn 0.2500 0.2500 0.5000 x4  8 Zn 2.77-2.89, 4 Mg 2.81

CaYW | meta-GGA SCAN | PBEsol geometry

The energy above the lowest structure with this stoichiometry comes out at 165.4 kJ/mol of formula units. The formation energy is 30.83 kcal/mol of atoms.

Lattice parameters (Å, degrees): 7.0057 7.0057 7.0057 90.00 90.00 90.00
Closest atoms and distances in Å follow each position.
Space group F-43m (No. 216)
Inequivalent atoms, fractional coordinates:
Ca 0.0000 0.0000 0.0000 x4  4 W 3.03
Y 0.0000 0.0000 0.5000 x4  4 W 3.03
W 0.2500 0.2500 0.7500 x4  4 Ca 3.03, 4 Y 3.03

AlZn2Cu | meta-GGA SCAN | PBEsol geometry

The formation energy is -0.16 kcal/mol of atoms.

Lattice parameters (Å, degrees): 2.7292 2.7292 25.6968 90.00 90.00 120.00
Closest atoms and distances in Å follow each position.
Space group R-3m (No. 166, hexagonal axes)
Inequivalent atoms, fractional coordinates:
Al 0.0000 0.0000 0.0000 x3  6 Al 2.73, 6 Zn 2.77
Zn 0.0000 0.0000 0.2444 x6  3 Cu 2.55, 6 Zn 2.73, 3 Al 2.77
Cu 0.0000 0.0000 0.5000 x3  6 Zn 2.55, 6 Cu 2.73